No. 1
# LiNd2PuAu4 (PBE, relaxed)
# Energy of formation   -615 meV per atom
# Density of states at the Fermi level   12.211 states/eV per cell
# Spin magnetization   5.79 μB/f.u.
data_LiNd2PuAu4
_symmetry_space_group_name_H-M 'P 1'
_symmetry_Int_Tables_number 1
_symmetry_space_group_name_Hall 'P 1'
_cell_length_a 5.136
_cell_length_b 5.136
_cell_length_c 8.821
_cell_angle_alpha 73.08
_cell_angle_beta 73.08
_cell_angle_gamma 60.00
loop_
_atom_site_label
_atom_site_type_symbol
_atom_site_fract_x
_atom_site_fract_y
_atom_site_fract_z
Li1 Li 0.500 0.500 0.500
Nd1 Nd 0.755 0.755 0.735
Nd2 Nd 0.245 0.245 0.265
Pu1 Pu 0.000 0.000 0.000
Au1 Au 0.375 0.375 0.876
Au2 Au 0.877 0.877 0.368
Au3 Au 0.123 0.123 0.632
Au4 Au 0.625 0.625 0.124

No. 2
# AlCu2P (PBE, relaxed)
# Energy of formation   111 meV per atom
# Density of states at the Fermi level   1.194 states/eV per cell
# Spin magnetization   0.00 μB/f.u.
data_AlCu2P
_symmetry_space_group_name_H-M 'P 1'
_symmetry_Int_Tables_number 1
_symmetry_space_group_name_Hall 'P 1'
_cell_length_a 4.494
_cell_length_b 5.205
_cell_length_c 2.746
_cell_angle_alpha 73.07
_cell_angle_beta 93.65
_cell_angle_gamma 116.64
loop_
_atom_site_label
_atom_site_type_symbol
_atom_site_fract_x
_atom_site_fract_y
_atom_site_fract_z
P1 P 0.000 0.500 0.500
Al1 Al 0.500 0.500 0.000
Cu1 Cu 0.000 0.000 0.000
Cu2 Cu 0.500 0.000 0.500